Entry 1:
AlAgO2 | the Alexandria database | GGA-PBE | optimized geometry; space-group type = No. 122; formation energy from raw total energies = -1.89 eV per atom
1.0
5.023 0.000 0.000
0.000 5.023 0.000
2.512 2.512 4.160
O Al Ag
4 2 2
Direct
0.516 0.125 0.250
0.234 0.625 0.250
0.375 0.484 0.750
0.875 0.766 0.750
0.500 0.500 0.000
0.250 0.750 0.500
0.000 0.000 0.000
0.750 0.250 0.500



Entry 2:
Ti3Zn4Ag | the Alexandria database | GGA-PBE | optimized geometry; space-group type = No. 47; formation energy from the elements = -0.104 eV per atom
1.0
-1.778 0.197 2.683
1.488 -3.981 1.278
6.738 3.859 4.183
Zn Ag Ti
4 1 3
Direct
0.000 0.000 0.500
0.000 0.500 0.752
0.000 0.000 0.000
0.000 0.500 0.248
0.500 0.500 0.000
0.500 0.000 0.255
0.500 0.500 0.500
0.500 0.000 0.745



Entry 3:
KTaTl2 | the Alexandria database | GGA-PBE | optimized geometry; distance to the lowest polymorph of the same formula = 159.4 meV per atom; space-group type = No. 44; formation energy from the elements = 0.579 eV per atom
1.0
-2.792 3.926 -7.521
-7.328 3.244 -3.946
6.560 -1.104 5.961
K Ta Tl
1 1 2
Direct
0.437 0.437 0.000
0.228 0.728 0.500
0.076 0.076 0.000
0.759 0.259 0.500



Number 1: V 13.121 Å³ per atom. Number 2: V 15.778 Å³ per atom. Number 3: V 31.810 Å³ per atom.